Entry from the Alexandria database: an optimized crystal structure of Dy2Ho3Au2 (PBE-GGA).

Unit cell a=12.641 b=3.693 c=9.136 alpha=90.00 beta=115.82 gamma=90.00
Space group C2/m (No. 12)
Inequivalent atoms, fractional coordinates:
Dy (0.151, 0.000, 0.313) (multiplicity 4)
Ho (0.000, 0.500, 0.500) (multiplicity 2)
Ho (0.113, 0.500, 0.944) (multiplicity 4)
Au (0.172, 0.000, 0.730) (multiplicity 4)

total moment: 0.0 μB per formula unit
volume: 383.8 Å³/cell
Fermi-level density of states: 18.81 states/eV/cell
total DFT energy (no corrections): -66.05 eV per cell

Entry from the Alexandria database: an optimized crystal structure of DyHo2Au2 (PBE-GGA).

Unit cell a=8.145 b=8.145 c=3.784 alpha=90.00 beta=90.00 gamma=90.00
Space group P4/mbm (No. 127)
Inequivalent atoms, fractional coordinates:
Dy (0.000, 0.000, 0.000) (multiplicity 2)
Ho (0.162, 0.338, 0.500) (multiplicity 4)
Au (0.133, 0.633, 0.000) (multiplicity 4)

total moment: 0.0 μB per formula unit
volume: 251.1 Å³/cell
Fermi-level density of states: 13.14 states/eV/cell
total DFT energy (no corrections): -47.70 eV per cell

Entry from the Alexandria database: an optimized crystal structure of Dy2HoAu (PBE-GGA).

Unit cell a=3.612 b=3.612 c=8.449 alpha=90.00 beta=90.00 gamma=90.00
Space group P4/mmm (No. 123)
Inequivalent atoms, fractional coordinates:
Dy (0.000, 0.000, 0.208) (multiplicity 2)
Ho (0.500, 0.500, 0.500) (multiplicity 1)
Au (0.500, 0.500, 0.000) (multiplicity 1)

energy above the most stable polymorph in this dataset: 5.5 kJ per mole of atoms
total moment: 0.0 μB per formula unit
volume: 110.2 Å³/cell
Fermi-level density of states: 5.34 states/eV/cell

Entry from the Alexandria database: an optimized crystal structure of Dy2Ho2Au3 (PBE-GGA).

Unit cell a=5.010 b=5.013 c=8.781 alpha=106.30 beta=90.17 gamma=119.98
Space group P-1 (No. 2)
Inequivalent atoms, fractional coordinates:
Dy (0.124, 0.249, 0.374) (multiplicity 2)
Ho (0.375, 0.750, 0.125) (multiplicity 2)
Au (0.000, 0.000, 0.000) (multiplicity 1)
Au (0.244, 0.488, 0.732) (multiplicity 2)

total moment: 0.0 μB per formula unit
volume: 180.6 Å³/cell
Fermi-level density of states: 5.12 states/eV/cell
total DFT energy (no corrections): -33.05 eV per cell

Entry from the Alexandria database: an optimized crystal structure of DyHo3Au (PBE-GGA).

Unit cell a=6.505 b=5.287 c=8.315 alpha=90.00 beta=100.71 gamma=90.00
Space group P2_1/m (No. 11)
Inequivalent atoms, fractional coordinates:
Dy (0.099, 0.250, 0.330) (multiplicity 2)
Ho (0.201, 0.750, 0.060) (multiplicity 2)
Ho (0.271, 0.250, 0.771) (multiplicity 2)
Ho (0.353, 0.750, 0.504) (multiplicity 2)
Au (0.453, 0.250, 0.150) (multiplicity 2)

total moment: 0.1 μB per formula unit
volume: 281.0 Å³/cell
Fermi-level density of states: 13.80 states/eV/cell
total DFT energy (no corrections): -46.21 eV per cell

Entry from the Alexandria database: an optimized crystal structure of Dy3Ho2Au2 (PBE-GGA).

Unit cell a=12.629 b=3.701 c=9.134 alpha=90.00 beta=115.51 gamma=90.00
Space group C2/m (No. 12)
Inequivalent atoms, fractional coordinates:
Dy (0.000, 0.000, 0.000) (multiplicity 2)
Dy (0.113, 0.000, 0.444) (multiplicity 4)
Ho (0.151, 0.500, 0.813) (multiplicity 4)
Au (0.173, 0.500, 0.228) (multiplicity 4)

total moment: 0.0 μB per formula unit
volume: 385.3 Å³/cell
Fermi-level density of states: 18.42 states/eV/cell
total DFT energy (no corrections): -66.02 eV per cell

Entry from the Alexandria database: an optimized crystal structure of DyHoAu2 (PBE-GGA).

Unit cell a=3.700 b=4.693 c=5.795 alpha=90.00 beta=108.52 gamma=90.00
Space group Pm (No. 6)
Inequivalent atoms, fractional coordinates:
Dy (0.000, 0.000, 0.000) (multiplicity 1)
Ho (0.723, 0.500, 0.445) (multiplicity 1)
Au (0.273, 0.000, 0.544) (multiplicity 1)
Au (0.450, 0.500, 0.899) (multiplicity 1)

energy above the most stable polymorph in this dataset: 0.0 kJ per mole of atoms
total moment: 0.0 μB per formula unit
volume: 95.4 Å³/cell
Fermi-level density of states: 2.34 states/eV/cell

Entry from the Alexandria database: an optimized crystal structure of Dy2HoAu6 (PBE-GGA).

Unit cell a=5.251 b=16.133 c=5.230 alpha=90.00 beta=119.52 gamma=90.00
Space group C2/m (No. 12)
Inequivalent atoms, fractional coordinates:
Dy (0.000, 0.165, 0.000) (multiplicity 4)
Ho (0.000, 0.500, 0.500) (multiplicity 2)
Au (0.157, 0.000, 0.828) (multiplicity 4)
Au (0.163, 0.334, 0.333) (multiplicity 8)

total moment: 0.0 μB per formula unit
volume: 385.5 Å³/cell
Fermi-level density of states: 9.43 states/eV/cell
total DFT energy (no corrections): -81.30 eV per cell

Which of these has the highest volume? Dy2HoAu6